# CrPdNO2, relaxed, DFT PBE with a Hubbard U
# N(E_F) in states/eV/atom: 0.729
# Energy in eV per cell: -29.7
# SG: P4/mmm (123)
data_CrPdNO2
_chemical_formula_sum 'Cr1 Pd1 N1 O2'
_cell_length_a 3.6514
_cell_length_b 3.6514
_cell_length_c 3.9520
_cell_angle_alpha 90.00
_cell_angle_beta 90.00
_cell_angle_gamma 90.00
_space_group_name_H-M_alt 'P 1'
_space_group_IT_number 1
_space_group_name_Hall 'P 1'
loop_
_atom_site_label
_atom_site_fract_x
_atom_site_fract_y
_atom_site_fract_z
_atom_site_occupancy
Cr1 0.0000 0.0000 0.0000 1
O1 0.0000 0.5000 0.0000 1
O2 0.5000 0.0000 0.0000 1
Pd1 0.5000 0.5000 0.5000 1
N1 0.0000 0.0000 0.5000 1